# 1
Below is a relaxed PaCoGe crystal, with properties calculated at the PBE-GGA level.

a = 3.1125 Å, b = 5.7034 Å, c = 3.1125 Å
α = 74.17°, β = 90.00°, γ = 105.83°
Positions (direct):
Ge  0.6861  0.3722  0.3139
Co  0.0662  0.1325  0.9338
Pa  0.3977  0.7953  0.6023

***

# 2
Below is a relaxed Pa3Co2Ge4 crystal, with properties calculated at the PBE-GGA level.

Calculated values
E above lowest polymorph	22.98	kJ per mole of atoms

a = 3.7684 Å, b = 7.8500 Å, c = 7.8500 Å
α = 53.28°, β = 76.11°, γ = 76.11°
Positions (direct):
Ge  0.1592  0.5166  0.1651
Ge  0.1592  0.1651  0.5166
Ge  0.8408  0.4834  0.8349
Pa  0.5000  0.5000  0.5000
Co  0.0000  0.8219  0.1781
Pa  0.6367  0.8633  0.8633
Pa  0.3633  0.1367  0.1367
Co  0.0000  0.1781  0.8219
Ge  0.8408  0.8349  0.4834

***

# 3
Below is a relaxed Pa3Co4Ge2 crystal, with properties calculated at the PBE-GGA level.

Calculated values
E above lowest polymorph	18.17	kJ per mole of atoms

a = 4.8903 Å, b = 6.4460 Å, c = 6.4460 Å
α = 62.58°, β = 67.71°, γ = 67.71°
Positions (direct):
Pa  0.3448  0.1552  0.1552
Ge  0.0000  0.7911  0.2089
Co  0.2474  0.5629  0.9423
Pa  0.5000  0.5000  0.5000
Pa  0.6552  0.8448  0.8448
Co  0.7526  0.4371  0.0577
Ge  0.0000  0.2089  0.7911
Co  0.7526  0.0577  0.4371
Co  0.2474  0.9423  0.5629

***

# 4
Below is a relaxed Pa2Co5Ge3 crystal, with properties calculated at the PBE-GGA level.

Calculated values
E above lowest polymorph	7.27	kJ per mole of atoms

a = 3.9797 Å, b = 6.5220 Å, c = 11.9799 Å
α = 90.00°, β = 99.56°, γ = 90.00°
Each line ends with the local moment (μB).
Positions (direct):
Ge  0.2247  0.2222  0.4494  0.00
Co  0.7112  0.0149  0.4224  0.01
Pa  0.8231  0.2519  0.6462  0.01
Pa  0.5102  0.2524  0.0204  -0.03
Ge  0.7753  0.7222  0.5506  0.00
Pa  0.1769  0.7519  0.3538  0.01
Co  0.5986  0.8500  0.1972  0.03
Ge  0.6140  0.4872  0.2280  -0.01
Co  0.1262  0.2784  0.2523  0.44
Co  0.7125  0.4275  0.4251  0.06
Co  0.8738  0.7784  0.7477  0.44
Co  0.0532  0.5950  0.1064  -0.01
Co  0.4014  0.3500  0.8028  0.03
Co  0.2888  0.5149  0.5776  0.01
Ge  0.9380  0.4854  0.8760  0.00
Co  0.2875  0.9275  0.5749  0.06
Co  0.9468  0.0950  0.8936  -0.01
Ge  0.0620  0.9854  0.1240  0.00
Ge  0.3860  0.9872  0.7720  -0.01
Pa  0.4898  0.7524  0.9796  -0.03

***

# 5
Below is a relaxed PaCoGe crystal, with properties calculated at the PBE-GGA level.

a = 4.1535 Å, b = 7.1964 Å, c = 14.4932 Å
α = 90.00°, β = 90.00°, γ = 90.00°
Positions (direct):
Pa  0.0000  0.2499  0.2498
Pa  0.5000  0.7494  0.0000
Co  0.0000  0.9165  0.1065
Co  0.5000  0.0835  0.6065
Pa  0.0000  0.2499  0.7502
Pa  0.0000  0.2506  0.5000
Co  0.0000  0.5837  0.3927
Ge  0.0000  0.5835  0.1320
Pa  0.5000  0.7498  0.5000
Pa  0.0000  0.2502  0.0000
Ge  0.0000  0.9172  0.6318
Co  0.0000  0.9165  0.8935
Ge  0.5000  0.4165  0.6320
Co  0.5000  0.0835  0.3935
Co  0.0000  0.5837  0.6073
Ge  0.5000  0.4165  0.3680
Co  0.5000  0.4163  0.1073
Ge  0.0000  0.9172  0.3682
Pa  0.5000  0.7501  0.7498
Ge  0.0000  0.5835  0.8680
Co  0.5000  0.4163  0.8927
Ge  0.5000  0.0828  0.1318
Pa  0.5000  0.7501  0.2502
Ge  0.5000  0.0828  0.8682

***

# 6
Below is a relaxed Pa2CoGe2 crystal, with properties calculated at the PBE-GGA level.

Calculated values
E above lowest polymorph	0.00	kJ per mole of atoms

a = 3.8598 Å, b = 5.7119 Å, c = 9.8073 Å
α = 86.19°, β = 78.64°, γ = 70.24°
Positions (direct):
Co  0.4431  0.8209  0.2932
Pa  0.2859  0.7824  0.6458
Pa  0.1042  0.6847  0.1070
Ge  0.9616  0.6669  0.4102
Co  0.5569  0.1791  0.7068
Ge  0.0384  0.3331  0.5898
Ge  0.6305  0.8586  0.8802
Ge  0.3695  0.1414  0.1198
Pa  0.7141  0.2176  0.3542
Pa  0.8958  0.3153  0.8930

***

# 7
Below is a relaxed Pa5Co3Ge3 crystal, with properties calculated at the PBE-GGA level.

a = 3.9593 Å, b = 8.3222 Å, c = 8.3222 Å
α = 120.00°, β = 90.00°, γ = 90.00°
Each line ends with the local moment (μB).
Positions (direct):
Co  0.5000  0.3261  0.0000  -0.01
Ge  0.0000  0.0000  0.4875  0.00
Ge  0.0000  0.4875  0.0000  0.00
Pa  0.5000  0.3333  0.6667  0.13
Pa  0.5000  0.2271  0.2271  0.04
Pa  0.5000  0.6667  0.3333  0.13
Co  0.5000  0.0000  0.3261  -0.01
Pa  0.5000  0.0000  0.7729  0.04
Pa  0.5000  0.7729  0.0000  0.04
Co  0.5000  0.6739  0.6739  -0.01
Ge  0.0000  0.5125  0.5125  0.00

***

# 8
Below is a relaxed Pa4CoGe8 crystal, with properties calculated at the PBE-GGA level.

a = 4.0422 Å, b = 4.1011 Å, c = 15.8734 Å
α = 90.00°, β = 90.00°, γ = 90.00°
Positions (direct):
Ge  0.5000  0.5000  0.0522
Ge  0.5000  0.0000  0.2391
Co  0.0000  0.0000  0.3134
Ge  0.5000  0.0000  0.5613
Pa  0.5000  0.0000  0.8926
Pa  0.0000  0.5000  0.6082
Pa  0.5000  0.5000  0.3950
Ge  0.0000  0.0000  0.4585
Pa  0.0000  0.0000  0.1019
Ge  0.0000  0.0000  0.7514
Ge  0.5000  0.5000  0.7502
Ge  0.0000  0.5000  0.2396
Ge  0.0000  0.5000  0.9398

***

# 9
Below is a relaxed Pa3Co7Ge2 crystal, with properties calculated at the PBE-GGA level.

a = 3.8940 Å, b = 3.8940 Å, c = 12.5026 Å
α = 98.96°, β = 98.96°, γ = 90.00°
Positions (direct):
Co  0.4234  0.9234  0.8469
Pa  0.6728  0.6728  0.3455
Co  0.5766  0.0766  0.1531
Co  0.7690  0.7690  0.5381
Co  0.9234  0.4234  0.8469
Ge  0.1291  0.1291  0.2583
Pa  0.3272  0.3272  0.6545
Pa  0.5000  0.5000  0.0000
Ge  0.8709  0.8709  0.7417
Co  0.0000  0.0000  0.0000
Co  0.0766  0.5766  0.1531
Co  0.2310  0.2310  0.4619

***

# 10
Below is a relaxed Pa3CoGe3 crystal, with properties calculated at the PBE-GGA level.

a = 4.0478 Å, b = 5.6743 Å, c = 13.6693 Å
α = 80.03°, β = 81.49°, γ = 69.10°
Positions (direct):
Pa  0.7676  0.7039  0.7610
Ge  0.9527  0.8583  0.2363
Pa  0.2324  0.2961  0.2390
Co  0.7580  0.1032  0.3809
Pa  0.4646  0.6865  0.3843
Ge  0.1493  0.2431  0.4584
Ge  0.8525  0.2147  0.0802
Ge  0.1475  0.7853  0.9198
Ge  0.0473  0.1417  0.7637
Pa  0.5790  0.7621  0.0800
Co  0.2420  0.8968  0.6191
Pa  0.4210  0.2379  0.9200
Ge  0.8507  0.7569  0.5416
Pa  0.5354  0.3135  0.6157

***

# 11
Below is a relaxed Pa3Co2Ge7 crystal, with properties calculated at the PBE-GGA level.

Calculated values
E above lowest polymorph	0.00	kJ per mole of atoms

a = 4.1809 Å, b = 4.1930 Å, c = 12.6614 Å
α = 99.50°, β = 90.00°, γ = 90.00°
Positions (direct):
Ge  0.5000  0.2783  0.5573
Co  0.5000  0.6275  0.2572
Ge  0.0000  0.4096  0.8235
Ge  0.0000  0.0000  0.0000
Ge  0.0000  0.5904  0.1765
Ge  0.5000  0.9124  0.8237
Ge  0.5000  0.0876  0.1763
Pa  0.0000  0.1858  0.3698
Ge  0.5000  0.7217  0.4427
Co  0.5000  0.3725  0.7428
Pa  0.5000  0.5000  0.0000
Pa  0.0000  0.8142  0.6302

***

# 12
Below is a relaxed Pa3Co2Ge4 crystal, with properties calculated at the PBE-GGA level.

Calculated values
E above lowest polymorph	0.00	kJ per mole of atoms

a = 4.1852 Å, b = 5.6881 Å, c = 7.9483 Å
α = 100.82°, β = 90.00°, γ = 111.59°
Positions (direct):
Pa  0.0000  0.0000  0.0000
Ge  0.9247  0.8495  0.6072
Co  0.4225  0.8450  0.7352
Pa  0.6558  0.3116  0.6616
Pa  0.3442  0.6884  0.3384
Co  0.5775  0.1550  0.2648
Ge  0.2766  0.5531  0.9227
Ge  0.7234  0.4469  0.0773
Ge  0.0753  0.1505  0.3928

***

# 13
Below is a relaxed Pa3Co4Ge4 crystal, with properties calculated at the PBE-GGA level.

Calculated values
E above lowest polymorph	0.00	kJ per mole of atoms

a = 4.1874 Å, b = 3.8254 Å, c = 12.0953 Å
α = 99.10°, β = 99.97°, γ = 90.00°
Each line ends with the local moment (μB).
Positions (direct):
Co  0.7459  0.7459  0.4918  0.42
Pa  0.0000  0.0000  0.0000  0.02
Ge  0.8049  0.3049  0.6099  -0.01
Ge  0.5527  0.5527  0.1053  0.00
Pa  0.6516  0.1516  0.3032  -0.06
Co  0.0937  0.5937  0.1875  -0.02
Ge  0.4473  0.4473  0.8947  0.00
Co  0.2541  0.2541  0.5082  0.42
Co  0.9063  0.4063  0.8125  -0.02
Ge  0.1951  0.6951  0.3901  -0.01
Pa  0.3484  0.8484  0.6968  -0.06

***

# 14
Below is a relaxed PaCo3Ge3 crystal, with properties calculated at the PBE-GGA level.

a = 6.5868 Å, b = 6.5868 Å, c = 6.9509 Å
α = 61.72°, β = 61.72°, γ = 60.00°
Positions (direct):
Co  0.7999  0.3062  0.8152
Ge  0.8989  0.4921  0.3760
Ge  0.5079  0.7670  0.6240
Co  0.9213  0.2001  0.1848
Ge  0.7670  0.1011  0.6240
Co  0.0787  0.7999  0.8152
Pa  0.6604  0.6604  0.0188
Ge  0.1011  0.5079  0.6240
Co  0.3062  0.0787  0.8152
Pa  0.3396  0.3396  0.9812
Co  0.6938  0.9213  0.1848
Co  0.2001  0.6938  0.1848
Ge  0.2330  0.8989  0.3760
Ge  0.4921  0.2330  0.3760

***

# 15
Below is a relaxed PaCo5Ge3 crystal, with properties calculated at the PBE-GGA level.

a = 3.6168 Å, b = 6.3245 Å, c = 11.9069 Å
α = 90.00°, β = 90.00°, γ = 106.61°
Positions (direct):
Co  0.8056  0.6113  0.0669
Co  0.8056  0.6113  0.4331
Ge  0.8649  0.7299  0.2500
Pa  0.8817  0.7634  0.7500
Co  0.4591  0.9182  0.1497
Ge  0.1351  0.2701  0.7500
Co  0.1944  0.3887  0.9331
Co  0.1944  0.3887  0.5669
Ge  0.3788  0.7575  0.5375
Co  0.5409  0.0818  0.6497
Co  0.0000  0.0000  0.5000
Co  0.4591  0.9182  0.3503
Pa  0.1183  0.2366  0.2500
Ge  0.6212  0.2425  0.0375
Ge  0.6212  0.2425  0.4625
Co  0.0000  0.0000  0.0000
Co  0.5409  0.0818  0.8503
Ge  0.3788  0.7575  0.9625

***

# 16
Below is a relaxed Pa3Co2Ge7 crystal, with properties calculated at the PBE-GGA level.

Calculated values
E above lowest polymorph	11.66	kJ per mole of atoms

a = 4.0622 Å, b = 4.0622 Å, c = 13.9362 Å
α = 98.38°, β = 98.38°, γ = 90.00°
Positions (direct):
Ge  0.7716  0.7716  0.5431
Ge  0.4148  0.9148  0.8295
Pa  0.3334  0.3334  0.6667
Pa  0.5000  0.5000  0.0000
Ge  0.5852  0.0852  0.1705
Co  0.1444  0.1444  0.2888
Ge  0.2284  0.2284  0.4569
Pa  0.6666  0.6666  0.3333
Co  0.8556  0.8556  0.7112
Ge  0.0852  0.5852  0.1705
Ge  0.9148  0.4148  0.8295
Ge  0.0000  0.0000  0.0000

***

# 17
Below is a relaxed Pa2CoGe crystal, with properties calculated at the PBE-GGA level.

Calculated values
E above lowest polymorph	61.01	kJ per mole of atoms

a = 3.1110 Å, b = 3.1110 Å, c = 9.9486 Å
α = 81.00°, β = 81.00°, γ = 60.00°
Each line ends with the local moment (μB).
Positions (direct):
Ge  0.5000  0.5000  0.5000  0.00
Pa  0.9197  0.9197  0.2410  -0.01
Pa  0.0803  0.0803  0.7590  -0.01
Co  0.0000  0.0000  0.0000  0.15

***

# 18
Below is a relaxed PaCo6Ge6 crystal, with properties calculated at the PBE-GGA level.

a = 5.1187 Å, b = 6.4565 Å, c = 6.4565 Å
α = 75.71°, β = 66.65°, γ = 66.65°
Positions (direct):
Ge  0.6720  0.8280  0.8280
Co  0.5000  0.0000  0.5000
Ge  0.3391  0.6609  0.6609
Co  0.5000  0.7520  0.2480
Co  0.0000  0.5000  0.0000
Ge  0.0000  0.3467  0.6533
Pa  0.0000  0.0000  0.0000
Co  0.5000  0.5000  0.0000
Ge  0.6609  0.3391  0.3391
Ge  0.3280  0.1720  0.1720
Ge  0.0000  0.6533  0.3467
Co  0.0000  0.0000  0.5000
Co  0.5000  0.2480  0.7520

***

# 19
Below is a relaxed Pa2Co4Ge5 crystal, with properties calculated at the PBE-GGA level.

a = 5.2442 Å, b = 5.2429 Å, c = 7.8486 Å
α = 80.38°, β = 70.48°, γ = 59.99°
Positions (direct):
Co  0.4776  0.3081  0.7366
Pa  0.1350  0.0000  0.7300
Ge  0.7500  0.5000  0.5000
Ge  0.5000  0.0000  0.0000
Ge  0.2500  0.5000  0.5000
Pa  0.8650  0.0000  0.2700
Co  0.2142  0.3081  0.2634
Co  0.5224  0.6919  0.2634
Ge  0.0000  0.5000  0.0000
Ge  0.5000  0.5000  0.0000
Co  0.7858  0.6919  0.7366

***

# 20
Below is a relaxed PaCoGe crystal, with properties calculated at the PBE-GGA level.

a = 3.5134 Å, b = 4.1985 Å, c = 4.1985 Å
α = 120.00°, β = 90.00°, γ = 90.00°
Positions (direct):
Pa  0.6669  0.6667  0.3333
Co  0.1661  0.0000  0.0000
Ge  0.1670  0.3333  0.6667

***

The evaluated energy relative to the elements for the records listed, in turn: -0.336, -0.308, -0.204, -0.352, -0.594, -0.530, -0.146, -0.464, -0.297, -0.495, -0.505, -0.547, -0.563, -0.154, -0.246, -0.384, 0.183, -0.278, -0.304, -0.578 eV per atom.